Record 1
{"formula": "SmAs2Rh5", "functional": "PBE-GGA", "state": "relaxed", "crystal_system": "orthorhombic", "spacegroup": "Immm", "dft_energy_ev_per_atom": -6.977, "lattice": [[-0.539, -3.444, 1.820], [5.245, -3.429, -0.688], [3.526, -0.035, 5.226]], "species": ["Sm", "Rh", "Rh", "Rh", "Rh", "Rh", "As", "As"], "fractional_positions": [[0.000, 0.000, 0.000], [0.645, 0.553, 0.158], [0.000, 0.500, 0.500], [0.355, 0.447, 0.842], [0.355, 0.842, 0.447], [0.645, 0.158, 0.553], [0.247, 0.253, 0.253], [0.753, 0.747, 0.747]]}

=====

Record 2
{"formula": "MgTcIr2", "functional": "PBE-GGA", "state": "relaxed", "crystal_system": "tetragonal", "spacegroup": "P4/mmm", "dft_energy_ev_per_atom": -7.699, "lattice": [[-0.292, -0.706, -2.700], [2.755, -0.502, -0.167], [-1.199, -7.254, 2.026]], "species": ["Tc", "Ir", "Ir", "Mg"], "fractional_positions": [[0.500, 0.500, 0.500], [0.000, 0.000, 0.263], [0.000, 0.000, 0.737], [0.500, 0.500, 0.000]]}

=====

| no. | magnetic moment (Bohr magnetons per cell) | DOS at the Fermi energy (states/eV/f.u.) | energy of formation from the pure elements (eV per formula unit) |
| --- | --- | --- | --- |
| 1 | 0.00 | 5.355 | -5.0 |
| 2 | 0.00 | 3.003 | -1.1 |